(1)
{"formula": "Li2CaOs", "functional": "GGA-PBEsol", "state": "relaxed", "lattice": [[4.160, 0.000, 0.000], [0.000, 4.160, 0.000], [0.000, 0.000, 3.826]], "species": ["Li", "Li", "Ca", "Os"], "fractional_positions": [[0.000, 0.500, 0.000], [0.500, 0.000, 0.000], [0.000, 0.000, 0.500], [0.500, 0.500, 0.500]], "delta_e_f_ev_per_atom": 0.59}

***

(2)
{"formula": "Ru2PtW", "functional": "GGA-PBEsol", "state": "relaxed", "lattice": [[2.708, 0.000, 0.000], [0.000, 3.869, 0.000], [0.000, 0.000, 5.452]], "species": ["Ru", "Ru", "Pt", "W"], "fractional_positions": [[0.000, 0.000, 0.000], [0.500, 0.500, 0.216], [0.500, 0.500, 0.730], [0.000, 0.000, 0.468]], "delta_e_f_ev_per_atom": -0.07}

***

(3)
{"formula": "ZrAg", "functional": "GGA-PBEsol", "state": "relaxed", "lattice": [[3.439, 0.000, 0.000], [0.000, 3.439, 0.000], [0.000, 0.000, 6.518]], "species": ["Zr", "Zr", "Ag", "Ag"], "fractional_positions": [[0.250, 0.250, 0.144], [0.750, 0.750, 0.856], [0.250, 0.250, 0.613], [0.750, 0.750, 0.387]], "delta_e_f_ev_per_atom": -0.15}

***

(4)
{"formula": "MnAlTl2", "functional": "GGA-PBEsol", "state": "relaxed", "lattice": [[0.000, 3.491, 3.491], [3.491, 0.000, 3.491], [3.491, 3.491, 0.000]], "species": ["Mn", "Al", "Tl", "Tl"], "fractional_positions": [[0.000, 0.000, 0.000], [0.500, 0.500, 0.500], [0.250, 0.250, 0.250], [0.750, 0.750, 0.750]], "delta_e_f_ev_per_atom": 0.52}

***

(5)
{"formula": "Co5W", "functional": "GGA-PBEsol", "state": "relaxed", "lattice": [[4.575, -1.280, 0.000], [4.575, 1.280, 0.000], [-1.500, 0.000, 5.682]], "species": ["Co", "Co", "Co", "Co", "Co", "W"], "fractional_positions": [[0.000, 0.000, 0.000], [0.052, 0.052, 0.621], [0.331, 0.331, 0.680], [0.657, 0.657, 0.347], [0.711, 0.711, 0.937], [0.379, 0.379, 0.279]], "delta_e_f_ev_per_atom": 0.08}

***

(6)
{"formula": "Sr2Se3", "functional": "GGA-PBEsol", "state": "relaxed", "lattice": [[5.268, 0.000, 0.000], [-2.634, 4.562, 0.000], [0.000, 0.000, 6.199]], "species": ["Sr", "Sr", "Se", "Se", "Se"], "fractional_positions": [[0.333, 0.667, 0.277], [0.667, 0.333, 0.723], [0.000, 0.000, 0.500], [0.333, 0.667, 0.783], [0.667, 0.333, 0.217]], "raw_formation_energy_ev_per_fu": -6.446}

***

Q: Which calculated density values were calculated for the entries above? A: 6.12, 16.89, 8.58, 9.58, 11.94, 4.59, in g cm⁻³.